# ScGa2CuBr6

A relaxed structure of ScGa2CuBr6 (PBE-GGA, OQMD via LeMat-Bulk).

Calculated values
Total moment: 0.00 μB per formula unit
Total DFT energy (no corrections): -3.44 eV per atom
Calculated volume: 29.415 A^3/atom
SG: No. 225

a = 7.4649 Å, b = 7.4649 Å, c = 7.4649 Å
α = 60.00°, β = 60.00°, γ = 60.00°
Last column: nearest neighbours and their distance in Å.
Positions (direct):
1 Br 0.7510 0.2490 0.2490  1 Cu 2.63, 1 Sc 2.65
2 Br 0.2490 0.7510 0.2490  1 Cu 2.63, 1 Sc 2.65
3 Br 0.7510 0.7510 0.2490  1 Cu 2.63, 1 Sc 2.65
4 Br 0.2490 0.7510 0.7510  1 Cu 2.63, 1 Sc 2.65
5 Br 0.2490 0.2490 0.7510  1 Cu 2.63, 1 Sc 2.65
6 Br 0.7510 0.2490 0.7510  1 Cu 2.63, 1 Sc 2.65
7 Cu 0.0000 0.0000 0.0000  6 Br 2.63
8 Ga 0.2500 0.2500 0.2500  12 Br 3.73
9 Ga 0.7500 0.7500 0.7500  12 Br 3.73
10 Sc 0.5000 0.5000 0.5000  6 Br 2.65